1.
Below is a relaxed structure of PmTmIn, with properties calculated at the PBE-GGA level.

a = 3.5745 Å, b = 3.5745 Å, c = 7.3225 Å
α = 104.13°, β = 104.13°, γ = 90.00°
Positions (direct):
1 In 0.6213 0.6213 0.2425
2 Tm 0.2695 0.2695 0.5390
3 Pm 0.9592 0.9592 0.9185

Summary:
The magnetic moment is 0.000 Bohr magnetons per cell. The calculation puts the formation energy at -0.30 eV per atom. The calculation puts the total energy at -12.9 eV/cell. As for the energy above the most stable polymorph in this dataset: 0.043 eV/atom.



2.
Below is a relaxed structure of Pm2Tm4In, with properties calculated at the PBE-GGA level.

a = 5.7766 Å, b = 6.5948 Å, c = 11.5239 Å
α = 90.00°, β = 105.24°, γ = 90.00°
Positions (direct):
1 Tm 0.0138 0.2500 0.1268
2 Tm 0.6330 0.0063 0.2866
3 Tm 0.3670 0.9937 0.7134
4 In 0.8649 0.2500 0.8332
5 Tm 0.9862 0.7500 0.8732
6 Pm 0.4306 0.2500 0.9758
7 Tm 0.8525 0.2500 0.5623
8 Tm 0.6330 0.4937 0.2866
9 Pm 0.5694 0.7500 0.0242
10 Tm 0.1475 0.7500 0.4377
11 Tm 0.3670 0.5063 0.7134
12 In 0.1351 0.7500 0.1668
13 Pm 0.7349 0.7500 0.5766
14 Pm 0.2651 0.2500 0.4234

Summary:
The magnetic moment is 0.000 Bohr magnetons per cell. The calculation puts the formation energy at -0.03 eV per atom. The calculation puts the total energy at -60.6 eV/cell. As for the energy above the most stable polymorph in this dataset: 0.022 eV/atom.